## ZnSeN3 (PBE)

Data for ZnSeN3 after structural relaxation.

Output
As for the uncorrected formation energy: 1103.9 kJ/mol of formula units. For the density of states at the Fermi level, the calculation gives 3.499 states/eV/f.u. The total DFT energy (no corrections) is -18.293 eV/cell. As for the space-group type: Pm-3m. The total magnetization is 0.06 μB/atom.

abc: 3.8461 3.8461 3.8461
angles: 90.00 90.00 90.00
Site moments in Bohr magnetons follow the coordinates.
Atoms (fractional coordinates):
1 Zn 0.0000 0.0000 0.0000  -0.01
2 Se 0.5000 0.5000 0.5000  -0.05
3 N 0.0000 0.5000 0.0000  0.10
4 N 0.0000 0.0000 0.5000  0.09
5 N 0.5000 0.0000 0.0000  0.09